Computed, not measured: K2LiVO4 after structural relaxation at the PBE with a Hubbard U level of DFT.

a b c (Å): 5.8061 5.8061 7.6616
angles (deg): 90.04 90.04 84.93
With the nearest neighbours (Å) after each atom.
Fractional coordinates of all 16 atoms:
K1 0.2184 0.7816 0.0000  6 O 2.74-2.96
K2 0.2968 0.2968 0.3201  6 O 2.69-3.00
K3 0.7032 0.7032 0.6799  6 O 2.69-3.00
K4 0.7816 0.2184 0.0000  6 O 2.74-2.96
Li1 0.1766 0.8234 0.5000  4 O 1.97-1.99
Li2 0.8234 0.1766 0.5000  4 O 1.97-1.99
V1 0.2920 0.2920 0.7429  4 O 1.74-1.75
V2 0.7080 0.7080 0.2571  4 O 1.74-1.75
O1 0.1098 0.1098 0.6410  1 V 1.74
O2 0.2161 0.5769 0.6776  1 V 1.75
O3 0.2710 0.2710 0.9697  1 V 1.75
O4 0.4231 0.7839 0.3224  1 V 1.75
O5 0.5769 0.2161 0.6776  1 V 1.75
O6 0.7290 0.7290 0.0303  1 V 1.75
O7 0.7839 0.4231 0.3224  1 V 1.75
O8 0.8902 0.8902 0.3590  1 V 1.74

Values from the calculation:
As for the space group: C2/m, No. 12. Its total DFT energy (no corrections) is -0.438 Ry/atom.

Computed, not measured: KLi3V4O12 after structural relaxation at the PBE with a Hubbard U level of DFT.

a b c (Å): 6.9797 6.9797 6.9797
angles (deg): 109.89 109.89 109.89
With the nearest neighbours (Å) after each atom.
Fractional coordinates of all 20 atoms:
K1 0.0000 0.0000 0.0000  6 O 2.81
Li1 0.0000 0.5701 0.4299  6 O 2.10-2.17
Li2 0.4299 0.0000 0.5701  6 O 2.10-2.17
Li3 0.5701 0.4299 0.0000  6 O 2.10-2.17
V1 0.0693 0.5000 0.9307  3 O 1.68-1.74
V2 0.5000 0.5000 0.5000  3 O 1.68
V3 0.5000 0.9307 0.0693  3 O 1.68-1.74
V4 0.9307 0.0693 0.5000  3 O 1.68-1.74
O1 0.0776 0.9224 0.5000  1 V 1.68
O2 0.0924 0.6511 0.7795  1 V 1.74
O3 0.2205 0.3489 0.9076  1 V 1.74
O4 0.3489 0.9076 0.2205  1 V 1.74
O5 0.3527 0.6473 0.5000  1 V 1.68
O6 0.5000 0.0776 0.9224  1 V 1.68
O7 0.5000 0.3527 0.6473  1 V 1.68
O8 0.6473 0.5000 0.3527  1 V 1.68
O9 0.6511 0.7795 0.0924  1 V 1.74
O10 0.7795 0.0924 0.6511  1 V 1.74
O11 0.9076 0.2205 0.3489  1 V 1.74
O12 0.9224 0.5000 0.0776  1 V 1.68

Values from the calculation:
As for the space group: R32, No. 155. Its total DFT energy (no corrections) is -0.472 Ry/atom.

Computed, not measured: KLiVO3 after structural relaxation at the PBE with a Hubbard U level of DFT.

a b c (Å): 5.8529 5.8529 5.4249
angles (deg): 90.00 90.00 123.47
With the nearest neighbours (Å) after each atom.
Fractional coordinates of all 12 atoms:
K1 0.2317 0.7683 0.7500  4 O 2.74-2.77, 1 Li 3.06
K2 0.7683 0.2317 0.2500  4 O 2.74-2.77, 1 Li 3.06
Li1 0.0655 0.9345 0.2500  5 O 2.11-2.13
Li2 0.9345 0.0655 0.7500  5 O 2.11-2.13
V1 0.4389 0.5611 0.2500  1 O 1.74
V2 0.5611 0.4389 0.7500  1 O 1.74
O1 0.2701 0.7299 0.2500  1 V 1.74
O2 0.2708 0.2708 0.0000  2 V 1.96, 2 Li 2.13
O3 0.2708 0.2708 0.5000  2 V 1.96, 2 Li 2.13
O4 0.7292 0.7292 0.0000  2 V 1.96, 2 Li 2.13
O5 0.7292 0.7292 0.5000  2 V 1.96, 2 Li 2.13
O6 0.7299 0.2701 0.7500  1 V 1.74

Values from the calculation:
As for the space group: Cmcm, No. 63. Its total DFT energy (no corrections) is -0.460 Ry/atom.

Copy entry 3 word for word.
Computed, not measured: KLiVO3 after structural relaxation at the PBE with a Hubbard U level of DFT.

a b c (Å): 5.8529 5.8529 5.4249
angles (deg): 90.00 90.00 123.47
With the nearest neighbours (Å) after each atom.
Fractional coordinates of all 12 atoms:
K1 0.2317 0.7683 0.7500  4 O 2.74-2.77, 1 Li 3.06
K2 0.7683 0.2317 0.2500  4 O 2.74-2.77, 1 Li 3.06
Li1 0.0655 0.9345 0.2500  5 O 2.11-2.13
Li2 0.9345 0.0655 0.7500  5 O 2.11-2.13
V1 0.4389 0.5611 0.2500  1 O 1.74
V2 0.5611 0.4389 0.7500  1 O 1.74
O1 0.2701 0.7299 0.2500  1 V 1.74
O2 0.2708 0.2708 0.0000  2 V 1.96, 2 Li 2.13
O3 0.2708 0.2708 0.5000  2 V 1.96, 2 Li 2.13
O4 0.7292 0.7292 0.0000  2 V 1.96, 2 Li 2.13
O5 0.7292 0.7292 0.5000  2 V 1.96, 2 Li 2.13
O6 0.7299 0.2701 0.7500  1 V 1.74

Values from the calculation:
As for the space group: Cmcm, No. 63. Its total DFT energy (no corrections) is -0.460 Ry/atom.

Q: Which of these has the lowest total DFT energy (no corrections)?
A: KLi3V4O12